A plane-wave DFT calculation with PBE was carried out for an optimized crystal structure of DyScRh2.

electronic total energy = -7.3331 eV/atom
space-group type = No. 123
energy of formation from the pure elements = -21.31 kcal/mol of atoms
magnetic moment = 0.00 μB/cell
density = 9.31 Mg/m³

Cell: 3.2685 3.2685 6.8984 Å, 90.00 90.00 90.00°
Closest atoms and distances in Å follow each position.
Sites, in units of the cell vectors:
1 Dy 0.0000 0.0000 0.0000  8 Rh 2.96, 4 Dy 3.27
2 Sc 0.0000 0.0000 0.5000  8 Rh 2.81
3 Rh 0.5000 0.5000 0.2678  4 Sc 2.81, 4 Dy 2.96
4 Rh 0.5000 0.5000 0.7322  4 Sc 2.81, 4 Dy 2.96

A plane-wave DFT calculation with PBE was carried out for an optimized crystal structure of Dy2Sc2Rh3.

electronic total energy = -7.1073 eV/atom
space-group type = No. 166
energy of formation from the pure elements = -19.20 kcal/mol of atoms
magnetic moment = 0.00 μB/cell
density = 8.26 Mg/m³

Cell: 8.3586 8.3586 8.3586 Å, 31.98 31.98 31.98°
Closest atoms and distances in Å follow each position.
Sites, in units of the cell vectors:
1 Dy 0.1225 0.1225 0.1225  5 Rh 2.87-3.17
2 Dy 0.8775 0.8775 0.8775  5 Rh 2.87-3.17
3 Sc 0.3725 0.3725 0.3725  7 Rh 2.78-2.82
4 Sc 0.6275 0.6275 0.6275  7 Rh 2.78-2.82
5 Rh 0.0000 0.0000 0.0000  6 Sc 2.82, 2 Dy 2.91
6 Rh 0.2557 0.2557 0.2557  4 Sc 2.78-2.81, 3 Dy 2.87
7 Rh 0.7443 0.7443 0.7443  4 Sc 2.78-2.81, 3 Dy 2.87

A plane-wave DFT calculation with PBE was carried out for an optimized crystal structure of Dy3Sc4Rh4.

electronic total energy = -6.9358 eV/atom
space-group type = No. 71
energy of formation from the pure elements = -16.26 kcal/mol of atoms
magnetic moment = 0.00 μB/cell
density = 7.58 Mg/m³

Cell: 8.7689 8.7689 8.7689 Å, 155.26 122.45 63.59°
Closest atoms and distances in Å follow each position.
Sites, in units of the cell vectors:
1 Dy 0.0000 0.0000 0.0000  4 Rh 3.10
2 Dy 0.3918 0.8918 0.5000  6 Rh 2.98-3.03, 1 Dy 3.22
3 Dy 0.6082 0.1082 0.5000  6 Rh 2.98-3.03, 1 Dy 3.22
4 Sc 0.0213 0.3324 0.6888  3 Rh 2.65-2.67
5 Sc 0.3564 0.6676 0.6888  3 Rh 2.65-2.67
6 Sc 0.6436 0.3324 0.3112  3 Rh 2.65-2.67
7 Sc 0.9787 0.6676 0.3112  3 Rh 2.65-2.67
8 Rh 0.2367 0.2367 0.0000  6 Sc 2.67-2.99, 2 Dy 2.98
9 Rh 0.2921 0.5000 0.7921  2 Sc 2.65
10 Rh 0.7079 0.5000 0.2079  2 Sc 2.65
11 Rh 0.7633 0.7633 0.0000  6 Sc 2.67-2.99, 2 Dy 2.98

A plane-wave DFT calculation with PBE was carried out for an optimized crystal structure of DySc4Rh2.

electronic total energy = -6.9145 eV/atom
space-group type = No. 11
energy of formation from the pure elements = -12.42 kcal/mol of atoms
magnetic moment = 0.00 μB/cell
density = 5.95 Mg/m³

Cell: 7.4124 5.8909 7.5950 Å, 90.00 112.74 90.00°
Closest atoms and distances in Å follow each position.
Sites, in units of the cell vectors:
1 Dy 0.0167 0.2500 0.1590  3 Rh 2.80-3.08
2 Dy 0.9833 0.7500 0.8410  3 Rh 2.80-3.08
3 Sc 0.2419 0.5006 0.5905  4 Rh 2.79-2.89, 2 Sc 2.94-2.95
4 Sc 0.2419 0.9994 0.5905  4 Rh 2.79-2.89, 2 Sc 2.94-2.95
5 Sc 0.3441 0.7500 0.2563  2 Rh 2.65-2.69
6 Sc 0.3903 0.2500 0.0137  2 Rh 2.64-2.79
7 Sc 0.6097 0.7500 0.9863  2 Rh 2.64-2.79
8 Sc 0.6559 0.2500 0.7437  2 Rh 2.65-2.69
9 Sc 0.7581 0.0006 0.4095  4 Rh 2.79-2.89, 2 Sc 2.94-2.95
10 Sc 0.7581 0.4994 0.4095  4 Rh 2.79-2.89, 2 Sc 2.94-2.95
11 Rh 0.0103 0.2500 0.7355  6 Sc 2.65-2.86
12 Rh 0.4200 0.2500 0.3719  6 Sc 2.64-2.89, 1 Dy 2.80
13 Rh 0.5800 0.7500 0.6281  6 Sc 2.64-2.89, 1 Dy 2.80
14 Rh 0.9897 0.7500 0.2645  6 Sc 2.65-2.86

A plane-wave DFT calculation with PBE was carried out for an optimized crystal structure of Dy2ScSi2Rh5.

electronic total energy = -7.3314 eV/atom
energy relative to the elements, uncorrected = -1.02 eV/atom
space-group type = No. 127
magnetic moment = 0.00 μB/cell
density = 9.21 Mg/m³

Cell: 9.8665 9.8665 3.4844 Å, 90.00 90.00 90.00°
Closest atoms and distances in Å follow each position.
Sites, in units of the cell vectors:
1 Dy 0.1741 0.3259 0.0000  3 Si 2.82-2.98, 6 Rh 2.99-3.10
2 Dy 0.3259 0.8259 0.0000  3 Si 2.82-2.98, 6 Rh 2.99-3.10
3 Dy 0.6741 0.1741 0.0000  3 Si 2.82-2.98, 6 Rh 2.99-3.10
4 Dy 0.8259 0.6741 0.0000  3 Si 2.82-2.98, 6 Rh 2.99-3.10
5 Sc 0.0000 0.0000 0.0000  8 Rh 2.84
6 Sc 0.5000 0.5000 0.0000  8 Rh 2.84
7 Si 0.1240 0.6240 0.0000  6 Rh 2.41-2.46
8 Si 0.3760 0.1240 0.0000  6 Rh 2.41-2.46
9 Si 0.6240 0.8760 0.0000  6 Rh 2.41-2.46
10 Si 0.8760 0.3760 0.0000  6 Rh 2.41-2.46
11 Rh 0.0000 0.5000 0.5000  4 Si 2.46
12 Rh 0.0691 0.7834 0.5000  2 Si 2.41
13 Rh 0.2166 0.0691 0.5000  2 Si 2.41
14 Rh 0.2834 0.5691 0.5000  2 Si 2.41
15 Rh 0.4309 0.2834 0.5000  2 Si 2.41
16 Rh 0.5000 0.0000 0.5000  4 Si 2.46
17 Rh 0.5691 0.7166 0.5000  2 Si 2.41
18 Rh 0.7166 0.4309 0.5000  2 Si 2.41
19 Rh 0.7834 0.9309 0.5000  2 Si 2.41
20 Rh 0.9309 0.2166 0.5000  2 Si 2.41

A plane-wave DFT calculation with PBE was carried out for an optimized crystal structure of DySc2SnRh4.

electronic total energy = -7.2198 eV/atom
space-group type = No. 166
energy of formation from the pure elements = -20.42 kcal/mol of atoms
magnetic moment = 0.00 μB/cell
density = 9.22 Mg/m³

Cell: 8.0594 8.0594 8.0594 Å, 33.37 33.37 33.37°
Closest atoms and distances in Å follow each position.
Sites, in units of the cell vectors:
1 Dy 0.0000 0.0000 0.0000  8 Rh 2.86
2 Sc 0.2456 0.2456 0.2456  8 Rh 2.74-3.01
3 Sc 0.7544 0.7544 0.7544  8 Rh 2.74-3.01
4 Sn 0.5000 0.5000 0.5000  8 Rh 2.79-2.83
5 Rh 0.1255 0.1255 0.1255  4 Sc 2.74-2.81, 3 Sn 2.83, 1 Dy 2.86
6 Rh 0.3776 0.3776 0.3776  1 Sn 2.79, 4 Sc 2.85-3.01, 3 Dy 2.86
7 Rh 0.6224 0.6224 0.6224  1 Sn 2.79, 4 Sc 2.85-3.01, 3 Dy 2.86
8 Rh 0.8745 0.8745 0.8745  4 Sc 2.74-2.81, 3 Sn 2.83, 1 Dy 2.86

A plane-wave DFT calculation with PBE was carried out for an optimized crystal structure of Dy2ScSn2Rh5.

electronic total energy = -6.6861 eV/atom
space-group type = No. 127
energy of formation from the pure elements = -15.13 kcal/mol of atoms
magnetic moment = 0.00 μB/cell
density = 9.67 Mg/m³

Cell: 10.1730 10.1730 3.7250 Å, 90.00 90.00 90.00°
Closest atoms and distances in Å follow each position.
Sites, in units of the cell vectors:
1 Dy 0.1694 0.3306 0.0000  3 Sn 2.89-3.07, 2 Rh 3.07
2 Dy 0.3306 0.8306 0.0000  3 Sn 2.89-3.07, 2 Rh 3.07
3 Dy 0.6694 0.1694 0.0000  3 Sn 2.89-3.07, 2 Rh 3.07
4 Dy 0.8306 0.6694 0.0000  3 Sn 2.89-3.07, 2 Rh 3.07
5 Sc 0.0000 0.0000 0.0000  8 Rh 2.83
6 Sc 0.5000 0.5000 0.0000  8 Rh 2.83
7 Sn 0.1297 0.6297 0.0000  6 Rh 2.63-2.64, 1 Dy 2.89
8 Sn 0.3703 0.1297 0.0000  6 Rh 2.63-2.64, 1 Dy 2.89
9 Sn 0.6297 0.8703 0.0000  6 Rh 2.63-2.64, 1 Dy 2.89
10 Sn 0.8703 0.3703 0.0000  6 Rh 2.63-2.64, 1 Dy 2.89
11 Rh 0.0000 0.5000 0.5000  4 Sn 2.64
12 Rh 0.0605 0.7993 0.5000  2 Sn 2.63, 2 Sc 2.83
13 Rh 0.2007 0.0605 0.5000  2 Sn 2.63, 2 Sc 2.83
14 Rh 0.2993 0.5605 0.5000  2 Sn 2.63, 2 Sc 2.83
15 Rh 0.4395 0.2993 0.5000  2 Sn 2.63, 2 Sc 2.83
16 Rh 0.5000 0.0000 0.5000  4 Sn 2.64
17 Rh 0.5605 0.7007 0.5000  2 Sn 2.63, 2 Sc 2.83
18 Rh 0.7007 0.4395 0.5000  2 Sn 2.63, 2 Sc 2.83
19 Rh 0.7993 0.9395 0.5000  2 Sn 2.63, 2 Sc 2.83
20 Rh 0.9395 0.2007 0.5000  2 Sn 2.63, 2 Sc 2.83

A plane-wave DFT calculation with PBE was carried out for an optimized crystal structure of TbDyScRh.

electronic total energy = -5.9225 eV/atom
space-group type = No. 216
energy of formation from the pure elements = -4.47 kcal/mol of atoms
magnetic moment = 0.00 μB/cell
density = 8.42 Mg/m³

Cell: 5.0765 5.0765 5.0765 Å, 60.00 60.00 60.00°
Closest atoms and distances in Å follow each position.
Sites, in units of the cell vectors:
1 Tb 0.0000 0.0000 0.0000  4 Sc 3.11, 4 Rh 3.11
2 Dy 0.5000 0.5000 0.5000  4 Sc 3.11, 4 Rh 3.11
3 Sc 0.7500 0.7500 0.7500  4 Tb 3.11, 4 Dy 3.11
4 Rh 0.2500 0.2500 0.2500  4 Tb 3.11, 4 Dy 3.11

Please write out number 3 again, unchanged.
A plane-wave DFT calculation with PBE was carried out for an optimized crystal structure of Dy3Sc4Rh4.

electronic total energy = -6.9358 eV/atom
space-group type = No. 71
energy of formation from the pure elements = -16.26 kcal/mol of atoms
magnetic moment = 0.00 μB/cell
density = 7.58 Mg/m³

Cell: 8.7689 8.7689 8.7689 Å, 155.26 122.45 63.59°
Closest atoms and distances in Å follow each position.
Sites, in units of the cell vectors:
1 Dy 0.0000 0.0000 0.0000  4 Rh 3.10
2 Dy 0.3918 0.8918 0.5000  6 Rh 2.98-3.03, 1 Dy 3.22
3 Dy 0.6082 0.1082 0.5000  6 Rh 2.98-3.03, 1 Dy 3.22
4 Sc 0.0213 0.3324 0.6888  3 Rh 2.65-2.67
5 Sc 0.3564 0.6676 0.6888  3 Rh 2.65-2.67
6 Sc 0.6436 0.3324 0.3112  3 Rh 2.65-2.67
7 Sc 0.9787 0.6676 0.3112  3 Rh 2.65-2.67
8 Rh 0.2367 0.2367 0.0000  6 Sc 2.67-2.99, 2 Dy 2.98
9 Rh 0.2921 0.5000 0.7921  2 Sc 2.65
10 Rh 0.7079 0.5000 0.2079  2 Sc 2.65
11 Rh 0.7633 0.7633 0.0000  6 Sc 2.67-2.99, 2 Dy 2.98

Q: The highest density belongs to which entry?
A: Dy2ScSn2Rh5